(1)
# PBE-GGA NbVB, relaxed
data_NbVB
_cell_length_a 3.238
_cell_length_b 14.715
_cell_length_c 3.112
_cell_angle_alpha 90.00
_cell_angle_beta 90.00
_cell_angle_gamma 90.00
_space_group_name_H-M_alt 'C m c m'
_space_group_IT_number 63
_space_group_name_Hall '-C 2c 2'
loop_
_atom_site_label
_atom_site_type_symbol
_atom_site_fract_x
_atom_site_fract_y
_atom_site_fract_z
Nb1 Nb 0.000 0.090 0.250
V1 V 0.000 0.296 0.250
B1 B 0.000 0.466 0.250
# * crystal system: orthorhombic
# * V: 12.4 Å³ per atom
# * distance to the lowest polymorph of the same formula: 61 meV per atom
# * calculated total energy: -9.1167 eV/atom

***

(2)
# PBE-GGA Nb3V3B4, relaxed
data_Nb3V3B4
_cell_length_a 3.212
_cell_length_b 8.459
_cell_length_c 8.417
_cell_angle_alpha 90.00
_cell_angle_beta 90.00
_cell_angle_gamma 90.00
_space_group_name_H-M_alt 'A m m 2'
_space_group_IT_number 38
loop_
_space_group_symop_operation_xyz
'x,y,z'
'-x,-y,z'
'-x,y,z'
'x,-y,z'
'x,y+1/2,z+1/2'
'-x,-y+1/2,z+1/2'
'-x,y+1/2,z+1/2'
'x,-y+1/2,z+1/2'
loop_
_atom_site_label
_atom_site_type_symbol
_atom_site_fract_x
_atom_site_fract_y
_atom_site_fract_z
Nb1 Nb 0.000 0.000 0.000
Nb2 Nb 0.000 0.181 0.677
V1 V 0.000 0.000 0.358
V2 V 0.500 0.246 0.427
B1 B 0.500 0.000 0.563
B2 B 0.500 0.000 0.786
B3 B 0.500 0.106 0.186
# * crystal system: orthorhombic
# * V: 11.4 Å³ per atom
# * calculated total energy: -9.1069 eV/atom

***

(3)
# PBE-GGA NbVB, relaxed
data_NbVB
_cell_length_a 9.018
_cell_length_b 3.237
_cell_length_c 5.607
_cell_angle_alpha 90.00
_cell_angle_beta 103.50
_cell_angle_gamma 90.00
_space_group_name_H-M_alt 'C 1 2/m 1'
_space_group_IT_number 12
loop_
_space_group_symop_operation_xyz
'x,y,z'
'-x,-y,-z'
'-x,y,-z'
'x,-y,z'
'x+1/2,y+1/2,z'
'-x+1/2,-y+1/2,-z'
'-x+1/2,y+1/2,-z'
'x+1/2,-y+1/2,z'
loop_
_atom_site_label
_atom_site_type_symbol
_atom_site_fract_x
_atom_site_fract_y
_atom_site_fract_z
Nb1 Nb 0.113 0.000 0.339
V1 V 0.131 0.500 0.896
B1 B 0.223 0.000 0.740
# * crystal system: monoclinic
# * V: 13.3 Å³ per atom
# * distance to the lowest polymorph of the same formula: 312 meV per atom
# * calculated total energy: -8.8655 eV/atom

***

(4)
# PBE-GGA NbVB, relaxed
data_NbVB
_cell_length_a 3.322
_cell_length_b 3.228
_cell_length_c 14.365
_cell_angle_alpha 90.00
_cell_angle_beta 90.00
_cell_angle_gamma 90.00
_space_group_name_H-M_alt 'A m m 2'
_space_group_IT_number 38
loop_
_space_group_symop_operation_xyz
'x,y,z'
'-x,-y,z'
'-x,y,z'
'x,-y,z'
'x,y+1/2,z+1/2'
'-x,-y+1/2,z+1/2'
'-x,y+1/2,z+1/2'
'x,-y+1/2,z+1/2'
loop_
_atom_site_label
_atom_site_type_symbol
_atom_site_fract_x
_atom_site_fract_y
_atom_site_fract_z
Nb1 Nb 0.000 0.000 0.000
Nb2 Nb 0.500 0.000 0.348
V1 V 0.000 0.000 0.204
V2 V 0.500 0.000 0.652
B1 B 0.000 0.000 0.820
B2 B 0.500 0.000 0.504
# * crystal system: orthorhombic
# * V: 12.8 Å³ per atom
# * distance to the lowest polymorph of the same formula: 302 meV per atom
# * calculated total energy: -8.8757 eV/atom

***

(5)
# PBE-GGA NbVB, relaxed
data_NbVB
_cell_length_a 8.912
_cell_length_b 3.218
_cell_length_c 6.183
_cell_angle_alpha 90.00
_cell_angle_beta 123.89
_cell_angle_gamma 90.00
_space_group_name_H-M_alt 'C 1 2/m 1'
_space_group_IT_number 12
loop_
_space_group_symop_operation_xyz
'x,y,z'
'-x,-y,-z'
'-x,y,-z'
'x,-y,z'
'x+1/2,y+1/2,z'
'-x+1/2,-y+1/2,-z'
'-x+1/2,y+1/2,-z'
'x+1/2,-y+1/2,z'
loop_
_atom_site_label
_atom_site_type_symbol
_atom_site_fract_x
_atom_site_fract_y
_atom_site_fract_z
Nb1 Nb 0.084 0.000 0.335
V1 V 0.189 0.500 0.081
B1 B 0.117 0.500 0.650
# * crystal system: monoclinic
# * V: 12.3 Å³ per atom
# * distance to the lowest polymorph of the same formula: 21 meV per atom
# * calculated total energy: -9.1569 eV/atom

***

(6)
# PBE-GGA NbVB, relaxed
data_NbVB
_cell_length_a 10.744
_cell_length_b 3.276
_cell_length_c 6.281
_cell_angle_alpha 90.00
_cell_angle_beta 90.00
_cell_angle_gamma 90.00
_space_group_name_H-M_alt 'P m m a'
_space_group_IT_number 51
loop_
_space_group_symop_operation_xyz
'x,y,z'
'-x,-y,-z'
'-x+1/2,-y,z'
'x+1/2,y,-z'
'x+1/2,-y,-z'
'-x+1/2,y,z'
'-x,y,-z'
'x,-y,z'
loop_
_atom_site_label
_atom_site_type_symbol
_atom_site_fract_x
_atom_site_fract_y
_atom_site_fract_z
Nb1 Nb 0.047 0.000 0.233
Nb2 Nb 0.250 0.000 0.859
V1 V 0.125 0.500 0.573
V2 V 0.250 0.500 0.202
B1 B 0.084 0.500 0.949
B2 B 0.250 0.000 0.449
# * crystal system: orthorhombic
# * V: 12.3 Å³ per atom
# * distance to the lowest polymorph of the same formula: 44 meV per atom
# * calculated total energy: -9.1335 eV/atom

***

(7)
# PBE-GGA NbVB, relaxed
data_NbVB
_cell_length_a 7.809
_cell_length_b 4.814
_cell_length_c 5.509
_cell_angle_alpha 90.00
_cell_angle_beta 134.43
_cell_angle_gamma 90.00
_space_group_name_H-M_alt 'C 1 2/m 1'
_space_group_IT_number 12
loop_
_space_group_symop_operation_xyz
'x,y,z'
'-x,-y,-z'
'-x,y,-z'
'x,-y,z'
'x+1/2,y+1/2,z'
'-x+1/2,-y+1/2,-z'
'-x+1/2,y+1/2,-z'
'x+1/2,-y+1/2,z'
loop_
_atom_site_label
_atom_site_type_symbol
_atom_site_fract_x
_atom_site_fract_y
_atom_site_fract_z
Nb1 Nb 0.149 0.000 0.467
V1 V 0.175 0.500 0.834
B1 B 0.000 0.309 0.000
# * crystal system: monoclinic
# * V: 12.3 Å³ per atom
# * distance to the lowest polymorph of the same formula: 118 meV per atom
# * calculated total energy: -9.0594 eV/atom

***

(8)
# PBE-GGA Nb3VB2, relaxed
data_Nb3VB2
_cell_length_a 5.456
_cell_length_b 10.640
_cell_length_c 5.930
_cell_angle_alpha 90.00
_cell_angle_beta 90.00
_cell_angle_gamma 90.00
_space_group_name_H-M_alt 'I b a m'
_space_group_IT_number 72
_space_group_name_Hall '-I 2 2c'
loop_
_atom_site_label
_atom_site_type_symbol
_atom_site_fract_x
_atom_site_fract_y
_atom_site_fract_z
Nb1 Nb 0.000 0.000 0.250
Nb2 Nb 0.000 0.283 0.250
V1 V 0.000 0.500 0.000
B1 B 0.200 0.139 0.000
# * crystal system: orthorhombic
# * V: 14.3 Å³ per atom
# * calculated total energy: -8.8863 eV/atom

***

(9)
# PBE-GGA NbV3B, relaxed
data_NbV3B
_cell_length_a 6.0558
_cell_length_b 6.0558
_cell_length_c 12.9269
_cell_angle_alpha 90.00
_cell_angle_beta 90.00
_cell_angle_gamma 120.00
_space_group_name_H-M_alt 'R 3 c'
_space_group_IT_number 161
_space_group_name_Hall 'R 3 -2"c'
loop_
_atom_site_label
_atom_site_type_symbol
_atom_site_fract_x
_atom_site_fract_y
_atom_site_fract_z
Nb1 Nb 0.0000 0.0000 0.0000
V1 V 0.0314 0.4916 0.4888
B1 B 0.0000 0.0000 0.2112
# * crystal system: trigonal
# * V: 13.7 Å³ per atom
# * distance to the lowest polymorph of the same formula: 10 meV per atom
# * calculated total energy: -8.7564 eV/atom

***

(10)
# PBE-GGA NbVB, relaxed
data_NbVB
_cell_length_a 7.870
_cell_length_b 4.763
_cell_length_c 5.568
_cell_angle_alpha 90.00
_cell_angle_beta 134.91
_cell_angle_gamma 90.00
_space_group_name_H-M_alt 'C 1 m 1'
_space_group_IT_number 8
loop_
_space_group_symop_operation_xyz
'x,y,z'
'x,-y,z'
'x+1/2,y+1/2,z'
'x+1/2,-y+1/2,z'
loop_
_atom_site_label
_atom_site_type_symbol
_atom_site_fract_x
_atom_site_fract_y
_atom_site_fract_z
Nb1 Nb 0.000 0.000 0.000
Nb2 Nb 0.018 0.500 0.345
V1 V 0.163 0.000 0.677
V2 V 0.186 0.500 0.039
B1 B 0.350 0.196 0.530
# * crystal system: monoclinic
# * V: 12.3 Å³ per atom
# * distance to the lowest polymorph of the same formula: 101 meV per atom
# * calculated total energy: -9.0763 eV/atom

***

(11)
# PBE-GGA NbV2B, relaxed
data_NbV2B
_cell_length_a 2.9523
_cell_length_b 2.9523
_cell_length_c 21.2901
_cell_angle_alpha 90.00
_cell_angle_beta 90.00
_cell_angle_gamma 120.00
_space_group_name_H-M_alt 'R -3 m'
_space_group_IT_number 166
_space_group_name_Hall '-R 3 2"'
loop_
_atom_site_label
_atom_site_type_symbol
_atom_site_fract_x
_atom_site_fract_y
_atom_site_fract_z
Nb1 Nb 0.0000 0.0000 0.0000
V1 V 0.0000 0.0000 0.2238
B1 B 0.0000 0.0000 0.5000
# * crystal system: trigonal
# * V: 13.4 Å³ per atom
# * calculated total energy: -8.8093 eV/atom

***

(12)
# PBE-GGA Nb2V4B, relaxed
data_Nb2V4B
_cell_length_a 3.905
_cell_length_b 3.905
_cell_length_c 14.034
_cell_angle_alpha 90.00
_cell_angle_beta 90.00
_cell_angle_gamma 90.00
_space_group_name_H-M_alt 'I 4/m m m'
_space_group_IT_number 139
_space_group_name_Hall '-I 4 2'
loop_
_atom_site_label
_atom_site_type_symbol
_atom_site_fract_x
_atom_site_fract_y
_atom_site_fract_z
Nb1 Nb 0.000 0.000 0.162
V1 V 0.000 0.000 0.354
V2 V 0.000 0.500 0.000
B1 B 0.000 0.000 0.500
# * crystal system: tetragonal
# * V: 15.3 Å³ per atom
# * calculated total energy: -8.6787 eV/atom

***

Energy of formation from the pure elements? In order: -0.495; -0.679; -0.244; -0.254; -0.535; -0.512; -0.437; -0.106; 0.064; -0.454; -0.063; 0.363 eV per atom.